# 1
Material: K2NaCN2
Method: DFT, PBE
State: relaxed

The size of the total moment is 0.00 μB/atom. Its total energy is -62.5 eV/cell. The density of states at the Fermi level is 2.390 states/eV/cell.

The space group is Pnnm (No. 58) and the conventional cell measures 5.854, 15.941 and 3.685 Å, with angles of 90.00, 90.00 and 90.00 degrees. The distinct sites, in fractional coordinates, are K at (0.001, 0.136, 0.000), Na at (0.000, 0.500, 0.500), C at (0.000, 0.000, 0.500) and N at (0.212, 0.000, 0.500).


# 2
Material: Hf5Ga2Pd12
Method: DFT, PBE
State: relaxed

The size of the total moment is 0.00 μB/atom. The formation energy comes out at -0.466 eV/atom. The density of states at the Fermi level is 19.512 states/eV/cell.

The space group is C2/m (No. 12) and the conventional cell measures 15.679, 5.384 and 9.379 Å, with angles of 90.00, 115.23 and 90.00 degrees. The distinct sites, in fractional coordinates, are Hf at (0.000, 0.000, 0.000), Hf at (0.167, 0.500, 0.373), Hf at (0.175, 0.500, 0.867), Ga at (0.000, 0.249, 0.500), Pd at (0.001, 0.500, 0.856), Pd at (0.083, 0.000, 0.792), Pd at (0.163, 0.250, 0.108) and Pd at (0.176, 0.245, 0.617).


# 3
Material: Ga3MoN
Method: DFT, PBE
State: relaxed

The size of the total moment is 0.70 μB/atom. The relative energy among the computed polymorphs is 3.66 eV per formula unit. The density of states at the Fermi level is 2.730 states/eV/cell.

The space group is Pm-3m (No. 221) and the conventional cell measures 4.958, 4.958 and 4.958 Å, with angles of 90.00, 90.00 and 90.00 degrees. The distinct sites, in fractional coordinates, are Ga at (0.000, 0.000, 0.500), Mo at (0.000, 0.000, 0.000) and N at (0.500, 0.500, 0.500).


# 4
Material: K2AgPb2
Method: DFT, PBE
State: relaxed

The size of the total moment is 0.00 μB/atom. The relative energy among the computed polymorphs is 0.14 eV per formula unit. The formation energy comes out at -0.022 eV/atom. The density of states at the Fermi level is 6.881 states/eV/cell.

The space group is P4/mbm (No. 127) and the conventional cell measures 7.718, 7.718 and 5.891 Å, with angles of 90.00, 90.00 and 90.00 degrees. The distinct sites, in fractional coordinates, are K at (0.175, 0.325, 0.000), Ag at (0.000, 0.000, 0.500) and Pb at (0.141, 0.641, 0.500).


# 5
Material: CdPt3Se
Method: DFT, PBE
State: relaxed

The size of the total moment is 0.00 μB/atom. The relative energy among the computed polymorphs is 0.00 eV per formula unit. The density of states at the Fermi level is 2.614 states/eV/cell.

The space group is Pm-3m (No. 221) and the conventional cell measures 4.717, 4.717 and 4.717 Å, with angles of 90.00, 90.00 and 90.00 degrees. The distinct sites, in fractional coordinates, are Cd at (0.000, 0.000, 0.000), Pt at (0.000, 0.500, 0.500) and Se at (0.500, 0.500, 0.500).


# 6
Material: TbScTeAs
Method: DFT, PBE
State: relaxed

The size of the total moment is 0.00 μB/atom. Its total energy is -72.5 eV/cell. The density of states at the Fermi level is 8.350 states/eV/cell.

The space group is R3m (No. 160, hexagonal axes) and the conventional cell measures 4.0505, 4.0505 and 21.4521 Å, with angles of 90.00, 90.00 and 120.00 degrees. The distinct sites, in fractional coordinates, are Tb at (0.0000, 0.0000, 0.0000), Sc at (0.0000, 0.0000, 0.1902), Te at (0.0000, 0.0000, 0.4319) and As at (0.0000, 0.0000, 0.5919).


# 7
Material: Tb2ScHg3
Method: DFT, PBE
State: relaxed

The size of the total moment is 0.07 μB/atom. The relative energy among the computed polymorphs is 0.00 eV per formula unit. The formation energy comes out at -0.456 eV/atom. The density of states at the Fermi level is 5.770 states/eV/cell.

The space group is P4/mmm (No. 123) and the conventional cell measures 3.626, 3.626 and 11.228 Å, with angles of 90.00, 90.00 and 90.00 degrees. The distinct sites, in fractional coordinates, are Tb at (0.000, 0.000, 0.174), Sc at (0.000, 0.000, 0.500), Hg at (0.500, 0.500, 0.000) and Hg at (0.500, 0.500, 0.352).


# 8
Material: Nd2Dy6Er3Zr
Method: DFT, PBE
State: relaxed

The size of the total moment is 0.00 μB/atom. The formation energy comes out at 0.053 eV/atom. The density of states at the Fermi level is 29.882 states/eV/cell.

The space group is C2/m (No. 12) and the conventional cell measures 6.107, 10.559 and 11.669 Å, with angles of 90.00, 99.95 and 90.00 degrees. The distinct sites, in fractional coordinates, are Nd at (0.000, 0.167, 0.000), Dy at (0.243, 0.500, 0.752), Dy at (0.246, 0.337, 0.248), Er at (0.000, 0.000, 0.500), Er at (0.000, 0.334, 0.500) and Zr at (0.000, 0.500, 0.000).


# 9
Material: LaTb2Cu2Ge2
Method: DFT, PBE
State: relaxed

The size of the total moment is 0.00 μB/atom. The formation energy comes out at -0.510 eV/atom. The density of states at the Fermi level is 10.322 states/eV/cell.

The space group is R-3m (No. 166, hexagonal axes) and the conventional cell measures 4.3491, 4.3491 and 28.5722 Å, with angles of 90.00, 90.00 and 120.00 degrees. The distinct sites, in fractional coordinates, are La at (0.0000, 0.0000, 0.0000), Tb at (0.0000, 0.0000, 0.1281), Cu at (0.0000, 0.0000, 0.4075) and Ge at (0.0000, 0.0000, 0.2594).


# 10
Material: Zr2FeSi
Method: DFT, PBE
State: relaxed

The size of the total moment is 0.31 μB/atom. Its total energy is -64.3 eV/cell. The density of states at the Fermi level is 6.929 states/eV/cell.

The space group is I-4m2 (No. 119) and the conventional cell measures 3.831, 3.831 and 9.434 Å, with angles of 90.00, 90.00 and 90.00 degrees. The distinct sites, in fractional coordinates, are Zr at (0.000, 0.000, 0.000), Zr at (0.000, 0.500, 0.250), Fe at (0.000, 0.500, 0.750) and Si at (0.000, 0.000, 0.500).


# 11
Material: SbMo2P
Method: DFT, PBE
State: relaxed

The size of the total moment is 0.00 μB/atom. The relative energy among the computed polymorphs is 0.31 eV per formula unit. The density of states at the Fermi level is 4.522 states/eV/cell.

The space group is Cm (No. 8) and the conventional cell measures 8.801, 3.268 and 5.057 Å, with angles of 90.00, 106.86 and 90.00 degrees. The distinct sites, in fractional coordinates, are Sb at (0.000, 0.000, 0.000), Mo at (0.024, 0.500, 0.554), Mo at (0.258, 0.500, 0.231) and P at (0.245, 0.000, 0.577).


# 12
Material: HfVNiIr
Method: DFT, PBE
State: relaxed

The size of the total moment is 0.36 μB/atom. The formation energy comes out at -0.386 eV/atom. The density of states at the Fermi level is 20.433 states/eV/cell.

The space group is F-43m (No. 216) and the conventional cell measures 6.251, 6.251 and 6.251 Å, with angles of 90.00, 90.00 and 90.00 degrees. The distinct sites, in fractional coordinates, are Hf at (0.000, 0.000, 0.000), V at (0.000, 0.000, 0.500), Ni at (0.250, 0.250, 0.750) and Ir at (0.250, 0.250, 0.250).


# 13
Material: PaBi3
Method: DFT, PBE
State: relaxed

The size of the total moment is 0.24 μB/atom. The relative energy among the computed polymorphs is 0.14 eV per formula unit. The formation energy comes out at -0.080 eV/atom. The density of states at the Fermi level is 23.931 states/eV/cell.

The space group is Cmcm (No. 63) and the conventional cell measures 4.484, 23.733 and 4.708 Å, with angles of 90.00, 90.00 and 90.00 degrees. The distinct sites, in fractional coordinates, are Pa at (0.000, 0.067, 0.250), Bi at (0.000, 0.174, 0.750), Bi at (0.000, 0.325, 0.750) and Bi at (0.000, 0.448, 0.250).


# 14
Material: TmHfCd2
Method: DFT, PBE
State: relaxed

The size of the total moment is 0.00 μB/atom. The relative energy among the computed polymorphs is 0.40 eV per formula unit. The formation energy comes out at 0.017 eV/atom. The density of states at the Fermi level is 10.222 states/eV/cell.

The space group is R-3m (No. 166, hexagonal axes) and the conventional cell measures 3.3221, 3.3221 and 30.2739 Å, with angles of 90.00, 90.00 and 120.00 degrees. The distinct sites, in fractional coordinates, are Tm at (0.0000, 0.0000, 0.0000), Hf at (0.0000, 0.0000, 0.5000) and Cd at (0.0000, 0.0000, 0.2475).


# 15
Material: In2AgMo
Method: DFT, PBE
State: relaxed

The size of the total moment is 0.00 μB/atom. The relative energy among the computed polymorphs is 0.57 eV per formula unit. The formation energy comes out at 0.393 eV/atom. The density of states at the Fermi level is 2.085 states/eV/cell.

The space group is R3m (No. 160, hexagonal axes) and the conventional cell measures 3.0917, 3.0917 and 28.9478 Å, with angles of 90.00, 90.00 and 120.00 degrees. The distinct sites, in fractional coordinates, are In at (0.0000, 0.0000, 0.0000), In at (0.0000, 0.0000, 0.2410), Ag at (0.0000, 0.0000, 0.4911) and Mo at (0.0000, 0.0000, 0.7467).


# 16
Material: InGeCl3
Method: DFT, PBE
State: relaxed

The size of the total moment is 0.00 μB/atom. Its total energy is -33.9 eV/cell. The density of states at the Fermi level is 0.000 states/eV/cell.

The space group is P1 (No. 1) and the conventional cell measures 5.027, 7.973 and 8.452 Å, with angles of 105.77, 94.98 and 92.31 degrees. The distinct sites, in fractional coordinates, are In at (0.000, 0.000, 0.000), In at (0.375, 0.377, 0.665), Ge at (0.120, 0.550, 0.159), Ge at (0.252, 0.826, 0.504), Cl at (0.395, 0.344, 0.223), Cl at (0.429, 0.016, 0.768), Cl at (0.432, 0.700, 0.045), Cl at (0.942, 0.675, 0.618), Cl at (0.944, 0.359, 0.895) and Cl at (0.975, 0.032, 0.441).


# 17
Material: LaPrTh2
Method: DFT, PBE
State: relaxed

The size of the total moment is 0.00 μB/atom. The relative energy among the computed polymorphs is 0.82 eV per formula unit. The formation energy comes out at 0.231 eV/atom. The density of states at the Fermi level is 47.350 states/eV/cell.

The space group is Fm-3m (No. 225) and the conventional cell measures 8.164, 8.164 and 8.164 Å, with angles of 90.00, 90.00 and 90.00 degrees. The distinct sites, in fractional coordinates, are La at (0.000, 0.000, 0.000), Pr at (0.000, 0.000, 0.500) and Th at (0.250, 0.250, 0.250).


# 18
Material: CdW2Cl
Method: DFT, PBE
State: relaxed

The size of the total moment is 0.00 μB/atom. The relative energy among the computed polymorphs is 0.00 eV per formula unit. The density of states at the Fermi level is 1.935 states/eV/cell.

The space group is Pm (No. 6) and the conventional cell measures 3.284, 3.102 and 8.378 Å, with angles of 90.00, 90.97 and 90.00 degrees. The distinct sites, in fractional coordinates, are Cd at (0.000, 0.000, 0.000), W at (0.497, 0.500, 0.766), W at (0.931, 0.000, 0.599) and Cl at (0.895, 0.500, 0.364).


# 19
Material: Ge3Au5Se12
Method: DFT, PBE
State: relaxed

The size of the total moment is 0.00 μB/atom. Its total energy is -551.8 eV/cell. The density of states at the Fermi level is 151.457 states/eV/cell.

The space group is Ia-3d (No. 230) and the conventional cell measures 15.914, 15.914 and 15.914 Å, with angles of 90.00, 90.00 and 90.00 degrees. The distinct sites, in fractional coordinates, are Ge at (0.000, 0.250, 0.125), Au at (0.000, 0.000, 0.000), Au at (0.000, 0.250, 0.375) and Se at (0.013, 0.060, 0.654).


# 20
Material: CeSm3Er2Te6
Method: DFT, PBE
State: relaxed

The size of the total moment is 0.11 μB/atom. Its total energy is -128.0 eV/cell. The density of states at the Fermi level is 24.807 states/eV/cell.

The space group is C2/m (No. 12) and the conventional cell measures 19.221, 4.378 and 8.890 Å, with angles of 90.00, 103.13 and 90.00 degrees. The distinct sites, in fractional coordinates, are Ce at (0.000, 0.000, 0.000), Sm at (0.000, 0.000, 0.500), Sm at (0.162, 0.500, 0.833), Er at (0.165, 0.500, 0.330), Te at (0.004, 0.500, 0.255), Te at (0.170, 0.000, 0.092) and Te at (0.170, 0.000, 0.577).


# 21
Material: KTl2Sb
Method: DFT, PBE
State: relaxed

The size of the total moment is 0.00 μB/atom. Its total energy is -31.9 eV/cell. The density of states at the Fermi level is 1.220 states/eV/cell.

The space group is R3m (No. 160, hexagonal axes) and the conventional cell measures 5.1321, 5.1321 and 19.7591 Å, with angles of 90.00, 90.00 and 120.00 degrees. The distinct sites, in fractional coordinates, are K at (0.0000, 0.0000, 0.0000), Tl at (0.0000, 0.0000, 0.2202), Tl at (0.0000, 0.0000, 0.4242) and Sb at (0.0000, 0.0000, 0.8148).


# 22
Material: KMg5Cd2
Method: DFT, PBE
State: relaxed

The size of the total moment is 0.00 μB/atom. The formation energy comes out at 0.004 eV/atom. The density of states at the Fermi level is 7.448 states/eV/cell.

The space group is Immm (No. 71) and the conventional cell measures 4.576, 8.639 and 11.190 Å, with angles of 90.00, 90.00 and 90.00 degrees. The distinct sites, in fractional coordinates, are K at (0.000, 0.000, 0.000), Mg at (0.000, 0.183, 0.348), Mg at (0.000, 0.500, 0.000) and Cd at (0.000, 0.500, 0.257).